[1]
## TbY4Tm (PBE)

Data for TbY4Tm after structural relaxation.

a = 5.422 Å, b = 5.422 Å, c = 7.687 Å
α = 90.00°, β = 90.00°, γ = 90.00°
Space group P4/mmm (No. 123)
Symmetry-distinct sites (fractional):
Tb (0.000, 0.000, 0.000) [1 per cell]
Y (0.000, 0.500, 0.251) [4 per cell]
Tm (0.500, 0.500, 0.500) [1 per cell]

***

[2]
## TbCeP2Ir5 (PBE)

Data for TbCeP2Ir5 after structural relaxation.

a = 4.033 Å, b = 4.033 Å, c = 11.045 Å
α = 90.00°, β = 90.00°, γ = 90.00°
Space group P4/mmm (No. 123)
Symmetry-distinct sites (fractional):
Tb (0.000, 0.000, 0.000) [1 per cell]
Ce (0.000, 0.000, 0.500) [1 per cell]
P (0.500, 0.500, 0.292) [2 per cell]
Ir (0.000, 0.500, 0.197) [4 per cell]
Ir (0.500, 0.500, 0.500) [1 per cell]

***

[3]
## PmDyGaRh (PBE)

Data for PmDyGaRh after structural relaxation.

a = 3.949 Å, b = 4.309 Å, c = 11.026 Å
α = 90.00°, β = 90.00°, γ = 90.00°
Space group Amm2 (No. 38)
Symmetry-distinct sites (fractional):
Pm (0.000, 0.000, 0.000) [2 per cell]
Dy (0.500, 0.000, 0.286) [2 per cell]
Ga (0.500, 0.000, 0.585) [2 per cell]
Rh (0.000, 0.000, 0.738) [2 per cell]

***

| no. | calculated volume (Å³ per cell) | energy (eV/atom) |
| --- | --- | --- |
| 1 | 226.0 | -5.10 |
| 2 | 179.6 | -7.94 |
| 3 | 187.6 | -5.63 |